First-principles (GGA+U) data for a relaxed LiNiIrO4 crystal, as listed in Alexandria via LeMat-Bulk.

Lattice parameters (Å, degrees): 6.045 6.045 6.045 121.22 118.16 90.56
Positions (direct):
Li1 0.387 0.137 0.250
Li2 0.613 0.863 0.750
Ni1 0.000 0.000 0.500
Ni2 0.000 0.500 0.000
Ir1 0.000 0.500 0.500
Ir2 0.500 0.500 0.000
O1 0.202 0.728 0.474
O2 0.246 0.272 0.974
O3 0.251 0.281 0.530
O4 0.251 0.721 0.970
O5 0.749 0.279 0.030
O6 0.749 0.719 0.470
O7 0.754 0.728 0.026
O8 0.798 0.272 0.526

The total energy comes out at -5.852 eV/atom. For the volume, the calculation gives 157 Å³ per cell.